Entry from Alexandria via LeMat-Bulk: an optimized crystal structure of MnSnIN2 (PBE-GGA).

Cell and atoms, written as CIF:
```
data_MnSnIN2
_space_group_name_H-M_alt 'P 4/m m m'
_space_group_IT_number 123
_space_group_name_Hall '-P 4 2'
_cell_length_a 4.0949
_cell_length_b 4.0949
_cell_length_c 5.5027
_cell_angle_alpha 90.00
_cell_angle_beta 90.00
_cell_angle_gamma 90.00
loop_
_atom_site_label
_atom_site_type_symbol
_atom_site_fract_x
_atom_site_fract_y
_atom_site_fract_z
Mn1 Mn 0.0000 0.0000 0.0000
Sn1 Sn 0.5000 0.5000 0.5000
I1 I 0.0000 0.0000 0.5000
N1 N 0.0000 0.5000 0.0000
```

Summary:
**Energy relative to the elements, uncorrected**: 1.063 eV/atom
**Total DFT energy (no corrections)**: -5.212 eV/atom

=====

Entry from Alexandria via LeMat-Bulk: an optimized crystal structure of SrMnI2N (PBE-GGA).

Cell and atoms, written as CIF:
```
data_SrMnI2N
_space_group_name_H-M_alt 'P 4/m m m'
_space_group_IT_number 123
_space_group_name_Hall '-P 4 2'
_cell_length_a 6.4799
_cell_length_b 6.4799
_cell_length_c 5.0234
_cell_angle_alpha 90.00
_cell_angle_beta 90.00
_cell_angle_gamma 90.00
loop_
_atom_site_label
_atom_site_type_symbol
_atom_site_fract_x
_atom_site_fract_y
_atom_site_fract_z
Sr1 Sr 0.0000 0.0000 0.0000
Mn1 Mn 0.5000 0.5000 0.5000
I1 I 0.0000 0.5000 0.0000
N1 N 0.0000 0.0000 0.5000
```

Summary:
**Energy relative to the elements, uncorrected**: 0.480 eV/atom
**Total DFT energy (no corrections)**: -3.975 eV/atom

=====

Entry from Alexandria via LeMat-Bulk: an optimized crystal structure of SrMnI2N (PBE-GGA).

Cell and atoms, written as CIF:
```
data_SrMnI2N
_space_group_name_H-M_alt 'P 4/m m m'
_space_group_IT_number 123
_space_group_name_Hall '-P 4 2'
_cell_length_a 6.3720
_cell_length_b 6.3720
_cell_length_c 6.9892
_cell_angle_alpha 90.00
_cell_angle_beta 90.00
_cell_angle_gamma 90.00
loop_
_atom_site_label
_atom_site_type_symbol
_atom_site_fract_x
_atom_site_fract_y
_atom_site_fract_z
Sr1 Sr 0.0000 0.0000 0.0000
Mn1 Mn 0.0000 0.0000 0.5000
I1 I 0.0000 0.5000 0.0000
N1 N 0.5000 0.5000 0.5000
```

Summary:
**Energy relative to the elements, uncorrected**: 0.878 eV/atom
**Total DFT energy (no corrections)**: -3.578 eV/atom

=====

Entry from Alexandria via LeMat-Bulk: an optimized crystal structure of SrMnI2N (PBE-GGA).

Cell and atoms, written as CIF:
```
data_SrMnI2N
_space_group_name_H-M_alt 'P 4/m m m'
_space_group_IT_number 123
_space_group_name_Hall '-P 4 2'
_cell_length_a 5.9263
_cell_length_b 5.9263
_cell_length_c 3.7303
_cell_angle_alpha 90.00
_cell_angle_beta 90.00
_cell_angle_gamma 90.00
loop_
_atom_site_label
_atom_site_type_symbol
_atom_site_fract_x
_atom_site_fract_y
_atom_site_fract_z
Sr1 Sr 0.0000 0.0000 0.0000
Mn1 Mn 0.5000 0.5000 0.5000
I1 I 0.0000 0.5000 0.5000
N1 N 0.5000 0.5000 0.0000
```

Summary:
**Energy relative to the elements, uncorrected**: -0.369 eV/atom
**Total DFT energy (no corrections)**: -4.824 eV/atom

=====

Entry from Alexandria via LeMat-Bulk: an optimized crystal structure of TaMnI2N (PBE-GGA).

Cell and atoms, written as CIF:
```
data_TaMnI2N
_space_group_name_H-M_alt 'P 4/m m m'
_space_group_IT_number 123
_space_group_name_Hall '-P 4 2'
_cell_length_a 5.4376
_cell_length_b 5.4376
_cell_length_c 3.4948
_cell_angle_alpha 90.00
_cell_angle_beta 90.00
_cell_angle_gamma 90.00
loop_
_atom_site_label
_atom_site_type_symbol
_atom_site_fract_x
_atom_site_fract_y
_atom_site_fract_z
Ta1 Ta 0.0000 0.0000 0.0000
Mn1 Mn 0.5000 0.5000 0.5000
I1 I 0.0000 0.5000 0.5000
N1 N 0.5000 0.5000 0.0000
```

Summary:
**Energy relative to the elements, uncorrected**: 0.877 eV/atom
**Total DFT energy (no corrections)**: -5.613 eV/atom

=====

Entry from Alexandria via LeMat-Bulk: an optimized crystal structure of TaMnIN2 (PBE-GGA).

Cell and atoms, written as CIF:
```
data_TaMnIN2
_space_group_name_H-M_alt 'P 4/m m m'
_space_group_IT_number 123
_space_group_name_Hall '-P 4 2'
_cell_length_a 4.0419
_cell_length_b 4.0419
_cell_length_c 5.8262
_cell_angle_alpha 90.00
_cell_angle_beta 90.00
_cell_angle_gamma 90.00
loop_
_atom_site_label
_atom_site_type_symbol
_atom_site_fract_x
_atom_site_fract_y
_atom_site_fract_z
Ta1 Ta 0.0000 0.0000 0.0000
Mn1 Mn 0.5000 0.5000 0.5000
I1 I 0.0000 0.0000 0.5000
N1 N 0.0000 0.5000 0.0000
```

Summary:
**Energy relative to the elements, uncorrected**: 0.504 eV/atom
**Total DFT energy (no corrections)**: -7.340 eV/atom

=====

Entry from Alexandria via LeMat-Bulk: an optimized crystal structure of TaMnIN2 (PBE-GGA).

Cell and atoms, written as CIF:
```
data_TaMnIN2
_space_group_name_H-M_alt 'P 4/m m m'
_space_group_IT_number 123
_space_group_name_Hall '-P 4 2'
_cell_length_a 3.8639
_cell_length_b 3.8639
_cell_length_c 5.1449
_cell_angle_alpha 90.00
_cell_angle_beta 90.00
_cell_angle_gamma 90.00
loop_
_atom_site_label
_atom_site_type_symbol
_atom_site_fract_x
_atom_site_fract_y
_atom_site_fract_z
Ta1 Ta 0.0000 0.0000 0.0000
Mn1 Mn 0.5000 0.5000 0.5000
I1 I 0.5000 0.5000 0.0000
N1 N 0.0000 0.5000 0.5000
```

Summary:
**Energy relative to the elements, uncorrected**: 1.435 eV/atom
**Total DFT energy (no corrections)**: -6.409 eV/atom

=====

Entry from Alexandria via LeMat-Bulk: an optimized crystal structure of TaMnI2N (PBE-GGA).

Cell and atoms, written as CIF:
```
data_TaMnI2N
_space_group_name_H-M_alt 'P 4/m m m'
_space_group_IT_number 123
_space_group_name_Hall '-P 4 2'
_cell_length_a 5.6684
_cell_length_b 5.6684
_cell_length_c 3.8916
_cell_angle_alpha 90.00
_cell_angle_beta 90.00
_cell_angle_gamma 90.00
loop_
_atom_site_label
_atom_site_type_symbol
_atom_site_fract_x
_atom_site_fract_y
_atom_site_fract_z
Ta1 Ta 0.0000 0.0000 0.0000
Mn1 Mn 0.5000 0.5000 0.5000
I1 I 0.0000 0.5000 0.0000
N1 N 0.0000 0.0000 0.5000
```

Summary:
**Energy relative to the elements, uncorrected**: 0.943 eV/atom
**Total DFT energy (no corrections)**: -5.547 eV/atom

=====

Entry from Alexandria via LeMat-Bulk: an optimized crystal structure of MnTcI2N (PBE-GGA).

Cell and atoms, written as CIF:
```
data_MnTcI2N
_space_group_name_H-M_alt 'P 4/m m m'
_space_group_IT_number 123
_space_group_name_Hall '-P 4 2'
_cell_length_a 5.5918
_cell_length_b 5.5918
_cell_length_c 3.7612
_cell_angle_alpha 90.00
_cell_angle_beta 90.00
_cell_angle_gamma 90.00
loop_
_atom_site_label
_atom_site_type_symbol
_atom_site_fract_x
_atom_site_fract_y
_atom_site_fract_z
Mn1 Mn 0.0000 0.0000 0.0000
Tc1 Tc 0.5000 0.5000 0.5000
I1 I 0.0000 0.5000 0.5000
N1 N 0.5000 0.5000 0.0000
```

Summary:
**Energy relative to the elements, uncorrected**: 0.550 eV/atom
**Total DFT energy (no corrections)**: -5.642 eV/atom

=====

Entry from Alexandria via LeMat-Bulk: an optimized crystal structure of MnTcIN2 (PBE-GGA).

Cell and atoms, written as CIF:
```
data_MnTcIN2
_space_group_name_H-M_alt 'P 4/m m m'
_space_group_IT_number 123
_space_group_name_Hall '-P 4 2'
_cell_length_a 3.7264
_cell_length_b 3.7264
_cell_length_c 5.6592
_cell_angle_alpha 90.00
_cell_angle_beta 90.00
_cell_angle_gamma 90.00
loop_
_atom_site_label
_atom_site_type_symbol
_atom_site_fract_x
_atom_site_fract_y
_atom_site_fract_z
Mn1 Mn 0.0000 0.0000 0.0000
Tc1 Tc 0.5000 0.5000 0.5000
I1 I 0.0000 0.0000 0.5000
N1 N 0.0000 0.5000 0.0000
```

Summary:
**Energy relative to the elements, uncorrected**: 1.357 eV/atom
**Total DFT energy (no corrections)**: -6.190 eV/atom

=====

Entry from Alexandria via LeMat-Bulk: an optimized crystal structure of MnTcIN2 (PBE-GGA).

Cell and atoms, written as CIF:
```
data_MnTcIN2
_space_group_name_H-M_alt 'P 4/m m m'
_space_group_IT_number 123
_space_group_name_Hall '-P 4 2'
_cell_length_a 3.9022
_cell_length_b 3.9022
_cell_length_c 5.7283
_cell_angle_alpha 90.00
_cell_angle_beta 90.00
_cell_angle_gamma 90.00
loop_
_atom_site_label
_atom_site_type_symbol
_atom_site_fract_x
_atom_site_fract_y
_atom_site_fract_z
Mn1 Mn 0.0000 0.0000 0.0000
Tc1 Tc 0.5000 0.5000 0.5000
I1 I 0.5000 0.5000 0.0000
N1 N 0.0000 0.5000 0.5000
```

Summary:
**Energy relative to the elements, uncorrected**: 0.838 eV/atom
**Total DFT energy (no corrections)**: -6.709 eV/atom

=====

Entry from Alexandria via LeMat-Bulk: an optimized crystal structure of MnTcI2N (PBE-GGA).

Cell and atoms, written as CIF:
```
data_MnTcI2N
_space_group_name_H-M_alt 'P 4/m m m'
_space_group_IT_number 123
_space_group_name_Hall '-P 4 2'
_cell_length_a 5.6416
_cell_length_b 5.6416
_cell_length_c 3.5613
_cell_angle_alpha 90.00
_cell_angle_beta 90.00
_cell_angle_gamma 90.00
loop_
_atom_site_label
_atom_site_type_symbol
_atom_site_fract_x
_atom_site_fract_y
_atom_site_fract_z
Mn1 Mn 0.0000 0.0000 0.0000
Tc1 Tc 0.5000 0.5000 0.5000
I1 I 0.0000 0.5000 0.0000
N1 N 0.0000 0.0000 0.5000
```

Summary:
**Energy relative to the elements, uncorrected**: 0.882 eV/atom
**Total DFT energy (no corrections)**: -5.311 eV/atom